Entry 1:
The following is a DFT calculation (GGA+U) of a relaxed structure of MgFe2TeO6.

## Properties
The calculation puts the final energy at -6.126 eV/atom. The symmetry is P2_1/c (14).

```
MgFe2TeO6
1.0
5.358 0.000 0.000
0.000 5.361 0.000
-5.320 0.000 7.696
Mg Fe Te O
2 4 2 12
direct
0.000 0.000 0.000
0.000 0.500 0.500
0.235 0.034 0.729
0.235 0.466 0.229
0.765 0.534 0.771
0.765 0.966 0.271
0.500 0.000 0.500
0.500 0.500 0.000
0.143 0.172 0.458
0.143 0.328 0.958
0.254 0.697 0.418
0.254 0.803 0.918
0.378 0.082 0.263
0.378 0.418 0.763
0.622 0.582 0.237
0.622 0.918 0.737
0.746 0.197 0.082
0.746 0.303 0.582
0.857 0.672 0.042
0.857 0.828 0.542
```


Entry 2:
The following is a DFT calculation (GGA+U) of a relaxed structure of Mg2FeTeO.

## Properties
The calculation puts the final energy at -4.088 eV/atom. For the density of states at the Fermi level, the calculation gives 0.3376 states/eV per atom. The symmetry is P4/mmm (123).

```
Mg2FeTeO
1.0
4.126 0.000 0.000
0.000 4.126 0.000
0.000 0.000 5.135
Mg Fe Te O
2 1 1 1
direct
0.000 0.500 0.000
0.500 0.000 0.000
0.000 0.000 0.500
0.500 0.500 0.500
0.000 0.000 0.000
```


Entry 3:
The following is a DFT calculation (GGA+U) of a relaxed structure of Mg6TiFeO8.

## Properties
The calculation puts the final energy at -6.337 eV/atom. For the density of states at the Fermi level, the calculation gives 0.1846 states/eV per atom. The symmetry is P4/mmm (123).

```
Mg6TiFeO8
1.0
4.302 0.000 0.000
0.000 4.302 0.000
0.000 0.000 8.599
Mg Ti Fe O
6 1 1 8
direct
0.000 0.000 0.000
0.000 0.500 0.248
0.000 0.500 0.752
0.500 0.000 0.248
0.500 0.000 0.752
0.500 0.500 0.000
0.000 0.000 0.500
0.500 0.500 0.500
0.000 0.000 0.244
0.000 0.000 0.756
0.000 0.500 0.000
0.000 0.500 0.500
0.500 0.000 0.000
0.500 0.000 0.500
0.500 0.500 0.247
0.500 0.500 0.753
```


Entry 4:
The following is a DFT calculation (GGA+U) of a relaxed structure of MgTiFe2O6.

## Properties
The calculation puts the final energy at -7.075 eV/atom. For the density of states at the Fermi level, the calculation gives 0.0000 states/eV per atom. The symmetry is R3 (146).

```
MgTiFe2O6
1.0
2.538 1.466 4.579
-2.538 1.466 4.579
0.000 -2.931 4.579
Mg Ti Fe O
1 1 2 6
direct
0.000 0.000 0.000
0.496 0.496 0.496
0.210 0.210 0.210
0.699 0.699 0.699
0.107 0.424 0.789
0.319 0.903 0.595
0.424 0.789 0.107
0.595 0.319 0.903
0.789 0.107 0.424
0.903 0.595 0.319
```


Entry 5:
The following is a DFT calculation (GGA+U) of a relaxed structure of Mg30TiFeO32.

## Properties
The calculation puts the final energy at -6.068 eV/atom. The symmetry is P4/mmm (123).

```
Mg30TiFeO32
1.0
8.536 0.000 0.000
0.000 8.536 0.000
0.000 0.000 8.528
Mg Ti Fe O
30 1 1 32
direct
0.000 0.000 0.000
0.000 0.000 0.500
0.000 0.250 0.249
0.000 0.250 0.751
0.000 0.500 0.000
0.000 0.500 0.500
0.000 0.750 0.249
0.000 0.750 0.751
0.249 0.249 0.500
0.249 0.500 0.245
0.249 0.500 0.755
0.249 0.751 0.500
0.250 0.000 0.249
0.250 0.000 0.751
0.250 0.250 0.000
0.250 0.750 0.000
0.500 0.000 0.000
0.500 0.000 0.500
0.500 0.249 0.245
0.500 0.249 0.755
0.500 0.751 0.245
0.500 0.751 0.755
0.750 0.000 0.249
0.750 0.000 0.751
0.750 0.250 0.000
0.750 0.750 0.000
0.751 0.249 0.500
0.751 0.500 0.245
0.751 0.500 0.755
0.751 0.751 0.500
0.500 0.500 0.500
0.500 0.500 0.000
0.000 0.000 0.251
0.000 0.000 0.749
0.000 0.249 0.000
0.000 0.250 0.500
0.000 0.500 0.252
0.000 0.500 0.748
0.000 0.750 0.500
0.000 0.751 0.000
0.239 0.500 0.000
0.249 0.000 0.000
0.249 0.500 0.500
0.250 0.000 0.500
0.251 0.251 0.250
0.251 0.251 0.750
0.251 0.749 0.250
0.251 0.749 0.750
0.500 0.000 0.252
0.500 0.000 0.748
0.500 0.239 0.000
0.500 0.249 0.500
0.500 0.500 0.270
0.500 0.500 0.730
0.500 0.751 0.500
0.500 0.761 0.000
0.749 0.251 0.250
0.749 0.251 0.750
0.749 0.749 0.250
0.749 0.749 0.750
0.750 0.000 0.500
0.751 0.000 0.000
0.751 0.500 0.500
0.761 0.500 0.000
```


Entry 6:
The following is a DFT calculation (GGA+U) of a relaxed structure of MgTi4FeO10.

## Properties
The calculation puts the final energy at -8.342 eV/atom. The symmetry is Amm2 (38).

```
MgTi4FeO10
1.0
10.186 0.000 0.000
0.000 1.880 4.935
0.000 -1.880 4.935
Mg Ti Fe O
1 4 1 10
direct
0.000 0.000 0.000
0.181 0.672 0.672
0.315 0.938 0.938
0.685 0.938 0.938
0.819 0.672 0.672
0.500 0.611 0.611
0.000 0.588 0.588
0.136 0.850 0.850
0.187 0.118 0.118
0.308 0.490 0.490
0.360 0.759 0.759
0.500 0.009 0.009
0.640 0.759 0.759
0.692 0.490 0.490
0.813 0.118 0.118
0.864 0.850 0.850
```


Entry 7:
The following is a DFT calculation (GGA+U) of a relaxed structure of Mg6TiFeO8.

## Properties
The calculation puts the final energy at -6.312 eV/atom. For the density of states at the Fermi level, the calculation gives 0.4358 states/eV per atom. The symmetry is P4/mmm (123).

```
Mg6TiFeO8
1.0
4.268 0.000 0.000
0.000 4.268 0.000
0.000 0.000 8.718
Mg Ti Fe O
6 1 1 8
direct
0.000 0.000 0.000
0.000 0.000 0.500
0.000 0.500 0.242
0.000 0.500 0.758
0.500 0.000 0.242
0.500 0.000 0.758
0.500 0.500 0.500
0.500 0.500 0.000
0.000 0.000 0.250
0.000 0.000 0.750
0.000 0.500 0.000
0.000 0.500 0.500
0.500 0.000 0.000
0.500 0.000 0.500
0.500 0.500 0.263
0.500 0.500 0.737
```


Entry 8:
The following is a DFT calculation (GGA+U) of a relaxed structure of TmMgFeO4.

## Properties
The calculation puts the final energy at -7.030 eV/atom. For the density of states at the Fermi level, the calculation gives 0.0000 states/eV per atom. The symmetry is Imma (74).

```
TmMgFeO4
1.0
-3.084 3.199 4.376
3.084 -3.199 4.376
3.084 3.199 -4.376
Tm Mg Fe O
2 2 2 8
direct
0.000 0.000 0.000
0.500 0.000 0.500
0.500 0.000 0.000
0.500 0.500 0.500
0.124 0.374 0.750
0.876 0.626 0.250
0.255 0.747 0.508
0.257 0.254 0.497
0.257 0.760 0.003
0.261 0.253 0.008
0.739 0.747 0.992
0.743 0.240 0.997
0.743 0.746 0.503
0.745 0.253 0.492
```